Record 1
The following is a GGA-PBE calculation of a geometry-optimized CsRbCd2 structure, from Alexandria via LeMat-Bulk.

Cell lengths 6.5367, 6.5367, 6.5367 Å; angles 60.00, 60.00, 60.00 degrees
Last column: nearest neighbours and their distance in Å.
Atoms (fractional coordinates):
1 Cs 0.0000 0.0000 0.0000  8 Cd 4.00
2 Rb 0.5000 0.5000 0.5000  8 Cd 4.00
3 Cd 0.2500 0.2500 0.2500  4 Rb 4.00, 4 Cs 4.00
4 Cd 0.7500 0.7500 0.7500  4 Rb 4.00, 4 Cs 4.00

Properties
D(E_F), states/eV/f.u.: 4.27
Symmetry: Fm-3m (225)
Mass density, g/cm3: 3.726

Record 2
The following is a GGA-PBE calculation of a geometry-optimized Cs4Rb2Cd structure, from Alexandria via LeMat-Bulk.

Cell lengths 13.3629, 13.3629, 13.3629 Å; angles 147.04, 147.04, 47.31 degrees
Last column: nearest neighbours and their distance in Å.
Atoms (fractional coordinates):
1 Cs 0.0000 0.5000 0.5000  2 Cd 3.79
2 Cs 0.1656 0.1656 0.0000  1 Cd 4.05
3 Cs 0.5000 0.0000 0.5000  2 Cd 3.79
4 Cs 0.8344 0.8344 0.0000  1 Cd 4.05
5 Rb 0.3633 0.3633 0.0000  9 Cs 4.84-5.41
6 Rb 0.6367 0.6367 0.0000  9 Cs 4.84-5.41
7 Cd 0.0000 0.0000 0.0000  6 Cs 3.79-4.05

Properties
D(E_F), states/eV/f.u.: 6.95
Symmetry: I4/mmm (139)
Mass density, g/cm3: 1.923

What calculated formation energy values result from the calculations? In sequence: 0.0380, 0.0446 eV/atom.